No. 1
# GGA-PBE CaTa2Hg, relaxed
data_CaTa2Hg
_cell_length_a 9.988
_cell_length_b 2.956
_cell_length_c 5.982
_cell_angle_alpha 90.00
_cell_angle_beta 97.13
_cell_angle_gamma 90.00
_symmetry_space_group_name_H-M 'C 1 m 1'
_symmetry_Int_Tables_number 8
loop_
_symmetry_equiv_pos_as_xyz
'x,y,z'
'x,-y,z'
'x+1/2,y+1/2,z'
'x+1/2,-y+1/2,z'
loop_
_atom_site_label
_atom_site_type_symbol
_atom_site_fract_x
_atom_site_fract_y
_atom_site_fract_z
Ca1 Ca 0.000 0.000 0.000
Ta1 Ta 0.003 0.500 0.480
Ta2 Ta 0.272 0.500 0.327
Hg1 Hg 0.246 0.000 0.768
# - Formation enthalpy at 0 K: 179 kJ/mol of formula units
# - Total magnetization: 0.00 μB per formula unit
# - DOS(E_F): 5.61 states/eV per cell

***

No. 2
# GGA-PBE DyTmTlIn, relaxed
data_DyTmTlIn
_cell_length_a 7.514
_cell_length_b 7.514
_cell_length_c 7.514
_cell_angle_alpha 90.00
_cell_angle_beta 90.00
_cell_angle_gamma 90.00
_symmetry_space_group_name_H-M 'F -4 3 m'
_symmetry_Int_Tables_number 216
_symmetry_space_group_name_Hall 'F -4 2 3'
loop_
_atom_site_label
_atom_site_type_symbol
_atom_site_fract_x
_atom_site_fract_y
_atom_site_fract_z
Dy1 Dy 0.000 0.000 0.000
Tm1 Tm 0.000 0.000 0.500
Tl1 Tl 0.250 0.250 0.250
In1 In 0.250 0.250 0.750
# - Formation enthalpy at 0 K: -147 kJ/mol of formula units
# - Total magnetization: 0.00 μB per formula unit
# - DOS(E_F): 6.92 states/eV per cell

***

No. 3
# GGA-PBE CrAsBr2Cl, relaxed
data_CrAsBr2Cl
_cell_length_a 4.824
_cell_length_b 4.824
_cell_length_c 4.856
_cell_angle_alpha 90.00
_cell_angle_beta 90.00
_cell_angle_gamma 90.00
_symmetry_space_group_name_H-M 'P 4/m m m'
_symmetry_Int_Tables_number 123
_symmetry_space_group_name_Hall '-P 4 2'
loop_
_atom_site_label
_atom_site_type_symbol
_atom_site_fract_x
_atom_site_fract_y
_atom_site_fract_z
Cr1 Cr 0.000 0.000 0.000
As1 As 0.000 0.000 0.500
Br1 Br 0.000 0.500 0.000
Cl1 Cl 0.500 0.500 0.500
# - Raw formation energy: 0.189 eV per atom
# - Total magnetization: 0.00 μB per formula unit
# - DOS(E_F): 6.46 states/eV per cell

***

No. 4
# GGA-PBE TlMoRu2, relaxed
data_TlMoRu2
_cell_length_a 2.880
_cell_length_b 4.111
_cell_length_c 5.626
_cell_angle_alpha 90.00
_cell_angle_beta 90.07
_cell_angle_gamma 90.00
_symmetry_space_group_name_H-M 'P 1 m 1'
_symmetry_Int_Tables_number 6
loop_
_symmetry_equiv_pos_as_xyz
'x,y,z'
'x,-y,z'
loop_
_atom_site_label
_atom_site_type_symbol
_atom_site_fract_x
_atom_site_fract_y
_atom_site_fract_z
Tl1 Tl 0.000 0.000 0.000
Mo1 Mo 0.496 0.500 0.688
Ru1 Ru 0.003 0.000 0.502
Ru2 Ru 0.500 0.500 0.261
# - Formation enthalpy at 0 K: 177 kJ/mol of formula units
# - Total magnetization: 0.00 μB per formula unit
# - DOS(E_F): 3.63 states/eV per cell

***

No. 5
# GGA-PBE Cs3TmNp2Te6, relaxed
data_Cs3TmNp2Te6
_cell_length_a 7.955
_cell_length_b 13.777
_cell_length_c 9.298
_cell_angle_alpha 90.00
_cell_angle_beta 106.59
_cell_angle_gamma 90.00
_symmetry_space_group_name_H-M 'C 1 2/m 1'
_symmetry_Int_Tables_number 12
loop_
_symmetry_equiv_pos_as_xyz
'x,y,z'
'-x,-y,-z'
'-x,y,-z'
'x,-y,z'
'x+1/2,y+1/2,z'
'-x+1/2,-y+1/2,-z'
'-x+1/2,y+1/2,-z'
'x+1/2,-y+1/2,z'
loop_
_atom_site_label
_atom_site_type_symbol
_atom_site_fract_x
_atom_site_fract_y
_atom_site_fract_z
Cs1 Cs 0.000 0.000 0.000
Cs2 Cs 0.000 0.332 0.000
Tm1 Tm 0.000 0.500 0.500
Np1 Np 0.000 0.167 0.500
Te1 Te 0.227 0.336 0.689
Te2 Te 0.236 0.000 0.690
# - Raw formation energy: -1.034 eV per atom
# - Total magnetization: 8.00 μB per formula unit
# - DOS(E_F): 34.64 states/eV per cell

***

No. 6
# GGA-PBE BaCo3Rh, relaxed
data_BaCo3Rh
_cell_length_a 4.752
_cell_length_b 4.752
_cell_length_c 4.752
_cell_angle_alpha 90.00
_cell_angle_beta 90.00
_cell_angle_gamma 90.00
_symmetry_space_group_name_H-M 'P m -3 m'
_symmetry_Int_Tables_number 221
_symmetry_space_group_name_Hall '-P 4 2 3'
loop_
_atom_site_label
_atom_site_type_symbol
_atom_site_fract_x
_atom_site_fract_y
_atom_site_fract_z
Ba1 Ba 0.000 0.000 0.000
Co1 Co 0.000 0.500 0.500
Rh1 Rh 0.500 0.500 0.500
# - Formation enthalpy at 0 K: 345 kJ/mol of formula units
# - Total magnetization: 6.48 μB per formula unit
# - DOS(E_F): 5.99 states/eV per cell

***

No. 7
# GGA-PBE Hf2PaW, relaxed
data_Hf2PaW
_cell_length_a 3.285
_cell_length_b 3.285
_cell_length_c 7.970
_cell_angle_alpha 90.00
_cell_angle_beta 90.00
_cell_angle_gamma 90.00
_symmetry_space_group_name_H-M 'P 4/m m m'
_symmetry_Int_Tables_number 123
_symmetry_space_group_name_Hall '-P 4 2'
loop_
_atom_site_label
_atom_site_type_symbol
_atom_site_fract_x
_atom_site_fract_y
_atom_site_fract_z
Hf1 Hf 0.000 0.000 0.207
Pa1 Pa 0.500 0.500 0.500
W1 W 0.500 0.500 0.000
# - Formation enthalpy at 0 K: 60 kJ/mol of formula units
# - Total magnetization: 0.02 μB per formula unit
# - DOS(E_F): 6.37 states/eV per cell

***

No. 8
# GGA-PBE Ce2VNiS5, relaxed
data_Ce2VNiS5
_cell_length_a 3.779
_cell_length_b 16.180
_cell_length_c 11.056
_cell_angle_alpha 90.00
_cell_angle_beta 90.00
_cell_angle_gamma 90.00
_symmetry_space_group_name_H-M 'C m c 21'
_symmetry_Int_Tables_number 36
loop_
_symmetry_equiv_pos_as_xyz
'x,y,z'
'-x,-y,z+1/2'
'-x,y,z'
'x,-y,z+1/2'
'x+1/2,y+1/2,z'
'-x+1/2,-y+1/2,z+1/2'
'-x+1/2,y+1/2,z'
'x+1/2,-y+1/2,z+1/2'
loop_
_atom_site_label
_atom_site_type_symbol
_atom_site_fract_x
_atom_site_fract_y
_atom_site_fract_z
Ce1 Ce 0.000 0.115 0.000
Ce2 Ce 0.000 0.127 0.617
V1 V 0.000 0.188 0.316
Ni1 Ni 0.000 0.427 0.746
S1 S 0.000 0.046 0.349
S2 S 0.000 0.293 0.961
S3 S 0.000 0.303 0.668
S4 S 0.000 0.347 0.311
S5 S 0.000 0.498 0.079
# - Raw formation energy: -1.438 eV per atom
# - Total magnetization: 2.84 μB per formula unit
# - DOS(E_F): 45.43 states/eV per cell

***

No. 9
# GGA-PBE La8Ir3, relaxed
data_La8Ir3
_cell_length_a 10.0600
_cell_length_b 10.0600
_cell_length_c 12.3745
_cell_angle_alpha 90.00
_cell_angle_beta 90.00
_cell_angle_gamma 120.00
_symmetry_space_group_name_H-M 'R -3'
_symmetry_Int_Tables_number 148
_symmetry_space_group_name_Hall '-R 3'
loop_
_atom_site_label
_atom_site_type_symbol
_atom_site_fract_x
_atom_site_fract_y
_atom_site_fract_z
La1 La 0.0000 0.0000 0.1565
La2 La 0.0545 0.7784 0.6136
Ir1 Ir 0.0000 0.5000 0.5000
# - Formation enthalpy at 0 K: -494 kJ/mol of formula units
# - Total magnetization: 0.00 μB per formula unit
# - DOS(E_F): 32.88 states/eV per cell

***

No. 10
# GGA-PBE CaZr2Sn, relaxed
data_CaZr2Sn
_cell_length_a 8.447
_cell_length_b 8.447
_cell_length_c 6.036
_cell_angle_alpha 90.00
_cell_angle_beta 90.00
_cell_angle_gamma 90.00
_symmetry_space_group_name_H-M 'I -4 2 d'
_symmetry_Int_Tables_number 122
_symmetry_space_group_name_Hall 'I -4 2bw'
loop_
_atom_site_label
_atom_site_type_symbol
_atom_site_fract_x
_atom_site_fract_y
_atom_site_fract_z
Ca1 Ca 0.000 0.000 0.000
Zr1 Zr 0.221 0.250 0.625
Sn1 Sn 0.000 0.000 0.500
# - Formation enthalpy at 0 K: 99 kJ/mol of formula units
# - Total magnetization: 0.00 μB per formula unit
# - DOS(E_F): 23.81 states/eV per cell

***

No. 11
# GGA-PBE TlCoCl2, relaxed
data_TlCoCl2
_cell_length_a 3.6469
_cell_length_b 3.6469
_cell_length_c 25.0023
_cell_angle_alpha 90.00
_cell_angle_beta 90.00
_cell_angle_gamma 120.00
_symmetry_space_group_name_H-M 'R 3 m'
_symmetry_Int_Tables_number 160
_symmetry_space_group_name_Hall 'R 3 -2"'
loop_
_atom_site_label
_atom_site_type_symbol
_atom_site_fract_x
_atom_site_fract_y
_atom_site_fract_z
Tl1 Tl 0.0000 0.0000 0.0000
Co1 Co 0.0000 0.0000 0.7469
Cl1 Cl 0.0000 0.0000 0.2584
Cl2 Cl 0.0000 0.0000 0.4545
# - Raw formation energy: -0.313 eV per atom
# - Total magnetization: 2.03 μB per formula unit
# - DOS(E_F): 2.19 states/eV per cell

***

No. 12
# GGA-PBE CeCo3P2, relaxed
data_CeCo3P2
_cell_length_a 14.313
_cell_length_b 3.713
_cell_length_c 6.817
_cell_angle_alpha 90.00
_cell_angle_beta 114.56
_cell_angle_gamma 90.00
_symmetry_space_group_name_H-M 'C 1 2/m 1'
_symmetry_Int_Tables_number 12
loop_
_symmetry_equiv_pos_as_xyz
'x,y,z'
'-x,-y,-z'
'-x,y,-z'
'x,-y,z'
'x+1/2,y+1/2,z'
'-x+1/2,-y+1/2,-z'
'-x+1/2,y+1/2,-z'
'x+1/2,-y+1/2,z'
loop_
_atom_site_label
_atom_site_type_symbol
_atom_site_fract_x
_atom_site_fract_y
_atom_site_fract_z
Ce1 Ce 0.154 0.000 0.065
Co1 Co 0.043 0.000 0.367
Co2 Co 0.094 0.500 0.677
Co3 Co 0.183 0.500 0.438
P1 P 0.022 0.500 0.189
P2 P 0.187 0.000 0.665
# - Formation enthalpy at 0 K: -482 kJ/mol of formula units
# - Total magnetization: 0.06 μB per formula unit
# - DOS(E_F): 22.88 states/eV per cell